# 1
This record from Alexandria describes crystalline Cs2Ce2VSe6 at its relaxed geometry. The functional is PBE.

Summary:
**E_form (uncorrected)**: -1.388 eV/atom
**DFT total energy**: -5.352 eV/atom
**Calculated density**: 4.76 g/cm3
**SG**: C2/m

Geometry as extended XYZ:
```
11
Lattice="7.075 0.018 0.047 -3.481 6.159 0.047 -1.298 -2.232 8.534" Properties=species:S:1:pos:R:3 pbc="T T T"
V -0.649 -1.116 4.267
Se 1.523 -1.113 5.818
Se -1.721 0.774 5.818
Se 0.772 5.058 2.810
Se 4.016 3.171 2.810
Se 0.461 0.792 2.778
Se 1.834 3.153 5.851
Ce 2.913 0.946 4.314
Ce -0.618 3.000 4.314
Cs 5.266 1.070 0.047
Cs -1.673 5.107 0.047
```

=====

# 2
This record from Alexandria describes crystalline SmHoCuSi at its relaxed geometry. The functional is PBE.

Summary:
**E_form (uncorrected)**: -0.409 eV/atom
**DFT total energy**: -5.113 eV/atom
**ΔE to the lowest computed polymorph**: 0.098 eV per atom
**Calculated density**: 7.75 g/cm3
**SG**: F-43m

Geometry as extended XYZ:
```
4
Lattice="-3.793 -3.201 -0.383 -0.220 -3.149 -3.849 0.768 -4.865 0.718" Properties=species:S:1:pos:R:3 pbc="T T T"
Si -0.811 -2.804 -0.878
Sm -1.623 -5.608 -1.757
Ho 0.000 0.000 0.000
Cu -2.434 -8.411 -2.635
```